No. 1
Below is a relaxed LaMgCl2 crystal, with properties calculated at the PBEsol level.

a b c (Å): 3.6851 4.4303 5.8992
angles (deg): 90.00 90.00 90.00
Atoms (fractional coordinates):
La  0.0000  0.0000  0.0000
Mg  0.5000  0.0000  0.5000
Cl  0.0000  0.5000  0.5000
Cl  0.5000  0.5000  0.0000

Output
Its formation energy from raw total energies is -1216.5 meV/atom. The space group is No. 47. The energy relative to the lowest polymorph listed for this composition comes out at 0.000 eV per atom.

No. 2
Below is a relaxed ReRh2Se crystal, with properties calculated at the PBEsol level.

a b c (Å): 2.8167 3.7729 5.4550
angles (deg): 90.00 90.00 90.00
Atoms (fractional coordinates):
Re  0.0000  0.0000  0.0000
Rh  0.5000  0.5000  0.2356
Rh  0.5000  0.5000  0.7644
Se  0.0000  0.0000  0.5000

Output
Its formation energy from raw total energies is 143.3 meV/atom. The space group is No. 47.

No. 3
Below is a relaxed Cr3SiOs crystal, with properties calculated at the PBEsol level.

a b c (Å): 4.5808 4.5808 4.5808
angles (deg): 90.00 90.00 90.00
Atoms (fractional coordinates):
Cr  0.0000  0.0000  0.5000
Cr  0.0000  0.5000  0.0000
Cr  0.5000  0.0000  0.0000
Si  0.5000  0.5000  0.5000
Os  0.0000  0.0000  0.0000

Output
Its formation energy from raw total energies is 1595.3 meV/atom. The space group is No. 221.

No. 4
Below is a relaxed CsZnBiPd2 crystal, with properties calculated at the PBEsol level.

a b c (Å): 5.0234 5.0234 5.1226
angles (deg): 90.00 90.00 90.00
Atoms (fractional coordinates):
Cs  0.0000  0.0000  0.0000
Zn  0.5000  0.5000  0.5000
Bi  0.5000  0.5000  0.0000
Pd  0.0000  0.5000  0.5000
Pd  0.5000  0.0000  0.5000

Output
The space group is No. 123. For the formation energy, the calculation gives 0.341 eV/atom.

No. 5
Below is a relaxed Cu2TeCl crystal, with properties calculated at the PBEsol level.

a b c (Å): 4.5153 4.5153 4.5153
angles (deg): 112.61 112.61 103.37
Atoms (fractional coordinates):
Cu  0.2500  0.7500  0.5000
Cu  0.7500  0.2500  0.5000
Te  0.0000  0.0000  0.0000
Cl  0.5000  0.5000  0.0000

Output
Its formation energy from raw total energies is 310.2 meV/atom. The space group is No. 139. The energy relative to the lowest polymorph listed for this composition comes out at 0.508 eV per atom.

No. 6
Below is a relaxed CdS crystal, with properties calculated at the PBEsol level.

a b c (Å): 4.1262 4.1262 6.7102
angles (deg): 90.00 90.00 120.00
Atoms (fractional coordinates):
Cd  0.3333  0.6667  0.0000
Cd  0.6667  0.3333  0.5000
S  0.3333  0.6667  0.6233
S  0.6667  0.3333  0.1233

Output
Its formation energy from raw total energies is -617.6 meV/atom. The space group is No. 186.

No. 7
Below is a relaxed Be2IrCl crystal, with properties calculated at the PBEsol level.

a b c (Å): 4.1707 4.1707 2.7842
angles (deg): 90.00 90.00 99.91
Atoms (fractional coordinates):
Be  0.0000  0.5000  0.0000
Be  0.5000  0.0000  0.0000
Ir  0.0000  0.0000  0.5000
Cl  0.5000  0.5000  0.5000

Output
Its formation energy from raw total energies is 146.6 meV/atom. The space group is No. 65. The energy relative to the lowest polymorph listed for this composition comes out at 0.331 eV per atom.

No. 8
Below is a relaxed OsPb2AuO crystal, with properties calculated at the PBEsol level.

a b c (Å): 4.8944 4.8944 4.0262
angles (deg): 90.00 90.00 90.00
Atoms (fractional coordinates):
Os  0.0000  0.0000  0.0000
Pb  0.0000  0.5000  0.5000
Pb  0.5000  0.0000  0.5000
Au  0.5000  0.5000  0.0000
O  0.5000  0.5000  0.5000

Output
Its formation energy from raw total energies is 709.1 meV/atom. The space group is No. 123.

No. 9
Below is a relaxed Hf2TcSnB crystal, with properties calculated at the PBEsol level.

a b c (Å): 5.1233 5.1233 4.7330
angles (deg): 90.00 90.00 90.00
Atoms (fractional coordinates):
Hf  0.0000  0.5000  0.0000
Hf  0.5000  0.0000  0.0000
Tc  0.0000  0.0000  0.5000
Sn  0.0000  0.0000  0.0000
B  0.5000  0.5000  0.5000

Output
The space group is No. 123. For the formation energy, the calculation gives 2.299 eV/atom.

No. 10
Below is a relaxed YCr2Co crystal, with properties calculated at the PBEsol level.

a b c (Å): 5.2777 5.2777 5.2777
angles (deg): 147.54 132.80 58.45
Atoms (fractional coordinates):
Y  0.0000  0.0000  0.0000
Cr  0.2692  0.7692  0.5000
Cr  0.7308  0.2308  0.5000
Co  0.5000  0.5000  0.0000

Output
The space group is No. 71. The energy relative to the lowest polymorph listed for this composition comes out at 0.000 eV per atom. For the formation energy, the calculation gives 0.542 eV/atom.

No. 11
Below is a relaxed KMnCr2 crystal, with properties calculated at the PBEsol level.

a b c (Å): 3.1043 3.1043 7.6235
angles (deg): 90.00 90.00 90.00
Atoms (fractional coordinates):
K  0.0000  0.0000  0.0000
Mn  0.5000  0.5000  0.3644
Cr  0.0000  0.0000  0.4869
Cr  0.5000  0.5000  0.6205

Output
The space group is No. 99. The energy relative to the lowest polymorph listed for this composition comes out at 0.000 eV per atom. For the formation energy, the calculation gives 0.938 eV/atom.

No. 12
Below is a relaxed CsGe2Pt2 crystal, with properties calculated at the PBEsol level.

a b c (Å): 8.0472 8.0472 8.0472
angles (deg): 151.31 151.31 41.02
Atoms (fractional coordinates):
Cs  0.0000  0.0000  0.0000
Ge  0.3498  0.3498  0.0000
Ge  0.6502  0.6502  0.0000
Pt  0.2500  0.7500  0.5000
Pt  0.7500  0.2500  0.5000

Output
The space group is No. 139. For the formation energy, the calculation gives -0.446 eV/atom.

No. 13
Below is a relaxed KNaAg2Ru crystal, with properties calculated at the PBEsol level.

a b c (Å): 4.8800 4.8800 4.7961
angles (deg): 90.00 90.00 90.00
Atoms (fractional coordinates):
K  0.0000  0.0000  0.0000
Na  0.0000  0.0000  0.5000
Ag  0.0000  0.5000  0.5000
Ag  0.5000  0.0000  0.5000
Ru  0.5000  0.5000  0.0000

Output
The space group is No. 123. For the formation energy, the calculation gives 1.538 eV/atom.

No. 14
Below is a relaxed HfZnN2 crystal, with properties calculated at the PBEsol level.

a b c (Å): 3.2281 3.2281 5.2477
angles (deg): 90.00 90.00 120.00
Atoms (fractional coordinates):
Hf  0.0000  0.0000  0.0000
Zn  0.6667  0.3333  0.4474
N  0.3333  0.6667  0.2528
N  0.6667  0.3333  0.8139

Output
Its formation energy from raw total energies is -1133.8 meV/atom. The space group is No. 156.

No. 15
Below is a relaxed AgHg2 crystal, with properties calculated at the PBEsol level.

a b c (Å): 8.9135 8.9135 8.9135
angles (deg): 60.00 60.00 60.00
Atoms (fractional coordinates):
Ag  0.1449  0.7850  0.7850
Ag  0.2150  0.2150  0.2150
Ag  0.2150  0.2150  0.8551
Ag  0.2150  0.8551  0.2150
Ag  0.7850  0.1449  0.7850
Ag  0.7850  0.7850  0.1449
Ag  0.7850  0.7850  0.7850
Ag  0.8551  0.2150  0.2150
Hg  0.0000  0.0000  0.0000
Hg  0.0000  0.0000  0.5000
Hg  0.0000  0.5000  0.0000
Hg  0.1922  0.1922  0.5578
Hg  0.1922  0.5578  0.1922
Hg  0.1922  0.5578  0.5578
Hg  0.4422  0.4422  0.8078
Hg  0.4422  0.8078  0.4422
Hg  0.4422  0.8078  0.8078
Hg  0.5000  0.0000  0.0000
Hg  0.5578  0.1922  0.1922
Hg  0.5578  0.1922  0.5578
Hg  0.5578  0.5578  0.1922
Hg  0.8078  0.4422  0.4422
Hg  0.8078  0.4422  0.8078
Hg  0.8078  0.8078  0.4422

Output
The space group is No. 227. The energy relative to the lowest polymorph listed for this composition comes out at 0.043 eV per atom. For the formation energy, the calculation gives 0.072 eV/atom.

No. 16
Below is a relaxed BaMoAu2 crystal, with properties calculated at the PBEsol level.

a b c (Å): 5.2754 5.2754 5.2754
angles (deg): 128.27 114.34 88.19
Atoms (fractional coordinates):
Ba  0.0000  0.0000  0.0000
Mo  0.5000  0.5000  0.0000
Au  0.3047  0.8047  0.5000
Au  0.6953  0.1953  0.5000

Output
The space group is No. 71. The energy relative to the lowest polymorph listed for this composition comes out at 0.136 eV per atom. For the formation energy, the calculation gives 0.506 eV/atom.

No. 17
Below is a relaxed SrPr2S4 crystal, with properties calculated at the PBEsol level.

a b c (Å): 7.4531 7.4531 7.4531
angles (deg): 109.47 109.47 109.47
Atoms (fractional coordinates):
Sr  0.0000  0.0000  0.0000
Sr  0.7500  0.2500  0.5000
Pr  0.2471  0.6250  0.1221
Pr  0.3750  0.4971  0.6221
Pr  0.5029  0.1250  0.8779
Pr  0.8750  0.7529  0.3779
S  0.1334  0.2272  0.7506
S  0.1328  0.7266  0.7494
S  0.2734  0.0228  0.4062
S  0.4766  0.3828  0.2494
S  0.6172  0.8666  0.0938
S  0.6166  0.8672  0.5938
S  0.7728  0.5234  0.9062
S  0.9772  0.3834  0.2506

Output
Its formation energy from raw total energies is -2151.7 meV/atom. The space group is No. 122.

No. 18
Below is a relaxed TaMo2Pb crystal, with properties calculated at the PBEsol level.

a b c (Å): 5.4287 5.4287 2.8889
angles (deg): 102.57 102.57 114.90
Atoms (fractional coordinates):
Ta  0.0000  0.0000  0.0000
Mo  0.0000  0.5000  0.5000
Mo  0.5000  0.0000  0.5000
Pb  0.5000  0.5000  0.0000

Output
The space group is No. 12. For the formation energy, the calculation gives 0.538 eV/atom.

No. 19
Below is a relaxed CuTc2Cl crystal, with properties calculated at the PBEsol level.

a b c (Å): 4.1839 4.1839 4.1839
angles (deg): 60.00 60.00 60.00
Atoms (fractional coordinates):
Cu  0.0000  0.0000  0.0000
Tc  0.2500  0.2500  0.2500
Tc  0.7500  0.7500  0.7500
Cl  0.5000  0.5000  0.5000

Output
Its formation energy from raw total energies is 836.3 meV/atom. The space group is No. 225. The energy relative to the lowest polymorph listed for this composition comes out at 0.062 eV per atom.

No. 20
Below is a relaxed KNiAu crystal, with properties calculated at the PBEsol level.

a b c (Å): 4.5073 4.5073 4.5073
angles (deg): 60.00 60.00 60.00
Atoms (fractional coordinates):
K  0.0000  0.0000  0.0000
Ni  0.7500  0.7500  0.7500
Au  0.5000  0.5000  0.5000

Output
The space group is No. 216. For the formation energy, the calculation gives 0.720 eV/atom.

no.,total magnetic moment (μB/f.u.)
1,0.00
2,0.00
3,8.35
4,0.00
5,0.00
6,0.00
7,0.00
8,0.98
9,0.48
10,1.88
11,0.03
12,0.00
13,1.63
14,0.00
15,0.00
16,3.17
17,0.00
18,0.00
19,0.00
20,0.10